Version a
{
  "formula": "Al2SiPb",
  "functional": "GGA-PBE",
  "state": "relaxed",
  "volume_a3_per_atom": 22.02,
  "space_group": "Cm",
  "total_magnetization_mub_per_fu": 0.000,
  "dos_ef_per_ev_atom": 0.41,
  "lattice_angstrom": [[-2.4551, -0.6277, -3.8272], [0.7387, -2.6465, -3.6768], [-3.1771, -4.9815, 0.6029]],
  "species": ["Si", "Al", "Al", "Pb"],
  "fractional_positions": [[0.2541, 0.2541, 0.1258], [0.7415, 0.7415, 0.8176], [0.9755, 0.9755, 0.0409], [0.5289, 0.5289, 0.5157]]
}



Version b
{
  "formula": "Al2SiPb",
  "functional": "GGA-PBE",
  "state": "relaxed",
  "volume_a3_per_atom": 27.60,
  "space_group": "I-42d",
  "total_magnetization_mub_per_fu": 0.000,
  "dos_ef_per_ev_atom": 0.42,
  "lattice_angstrom": [[-2.8395, 0.6706, -5.6610], [-5.3572, -2.4757, 2.3938], [-5.7640, 4.0805, -0.2078]],
  "species": ["Si", "Si", "Al", "Al", "Al", "Al", "Pb", "Pb"],
  "fractional_positions": [[0.2500, 0.7500, 0.5000], [0.5000, 0.5000, 0.0000], [0.8750, 0.8220, 0.7500], [0.5720, 0.1250, 0.2500], [0.1780, 0.6250, 0.2500], [0.3750, 0.4280, 0.7500], [0.0000, 0.0000, 0.0000], [0.7500, 0.2500, 0.5000]]
}



Version c
{
  "formula": "Al2SiPb",
  "functional": "GGA-PBE",
  "state": "relaxed",
  "volume_a3_per_atom": 21.29,
  "space_group": "R3m",
  "total_magnetization_mub_per_fu": 0.000,
  "dos_ef_per_ev_atom": 0.42,
  "lattice_angstrom": [[9.7916, 0.0297, 0.0175], [9.2597, 3.1833, 0.0175], [9.2597, 1.5616, 2.7740]],
  "species": ["Al", "Al", "Si", "Pb"],
  "fractional_positions": [[0.0041, 0.0041, 0.0041], [0.2629, 0.2629, 0.2629], [0.7341, 0.7341, 0.7341], [0.4989, 0.4989, 0.4989]]
}



Version d
{
  "formula": "Al2SiPb",
  "functional": "GGA-PBE",
  "state": "relaxed",
  "volume_a3_per_atom": 20.64,
  "space_group": "I4/mmm",
  "total_magnetization_mub_per_fu": 0.000,
  "dos_ef_per_ev_atom": 0.60,
  "lattice_angstrom": [[5.0776, 0.0008, 0.0000], [0.9037, 4.9965, 0.0000], [-2.9906, -2.4986, 3.2549]],
  "species": ["Pb", "Al", "Al", "Si"],
  "fractional_positions": [[0.2500, 0.7500, 0.5000], [0.5000, 0.5000, 0.0000], [0.0000, 0.0000, 0.0000], [0.7500, 0.2500, 0.5000]]
}



Which structure is most stable, and how do the rest compare? From most to least stable: version a, version c, version b, version d.



Version a
{
  "formula": "AlSi2Pb",
  "functional": "GGA-PBE",
  "state": "relaxed",
  "volume_a3_per_atom": 20.91,
  "space_group": "R-3m",
  "total_magnetization_mub_per_fu": 0.000,
  "dos_ef_per_ev_atom": 0.35,
  "lattice_angstrom": [[9.2082, -0.0745, -0.0438], [8.6525, 3.1513, -0.0438], [8.6525, 1.4906, 2.7769]],
  "species": ["Al", "Si", "Si", "Pb"],
  "fractional_positions": [[0.2500, 0.2500, 0.2500], [0.9843, 0.9843, 0.9843], [0.5157, 0.5157, 0.5157], [0.7500, 0.7500, 0.7500]]
}



Version b
{
  "formula": "AlSi2Pb",
  "functional": "GGA-PBE",
  "state": "relaxed",
  "volume_a3_per_atom": 21.36,
  "space_group": "C2/m",
  "total_magnetization_mub_per_fu": 0.000,
  "dos_ef_per_ev_atom": 0.28,
  "lattice_angstrom": [[4.4753, -0.0778, 0.0389], [2.9938, 3.3274, 0.0389], [1.4558, 0.6334, 5.6646]],
  "species": ["Al", "Si", "Si", "Pb"],
  "fractional_positions": [[0.2500, 0.2500, 0.2500], [0.9870, 0.9870, 0.0969], [0.5130, 0.5130, 0.4031], [0.7500, 0.7500, 0.7500]]
}



Version c
{
  "formula": "AlSi2Pb",
  "functional": "GGA-PBE",
  "state": "relaxed",
  "volume_a3_per_atom": 21.46,
  "space_group": "R3m",
  "total_magnetization_mub_per_fu": 0.000,
  "dos_ef_per_ev_atom": 0.24,
  "lattice_angstrom": [[-5.4860, 5.0248, -0.5200], [-6.3464, 2.4412, -3.0624], [-7.1969, 1.8835, 0.5216]],
  "species": ["Si", "Si", "Al", "Pb"],
  "fractional_positions": [[0.9757, 0.9757, 0.9757], [0.2589, 0.2589, 0.2589], [0.5193, 0.5193, 0.5193], [0.7462, 0.7462, 0.7462]]
}



Which structure is most stable, and how do the rest compare? From most to least stable: version c, version b, version a.



Version a
{
  "formula": "AlSi2Pb",
  "functional": "GGA-PBE",
  "state": "relaxed",
  "volume_a3_per_atom": 20.30,
  "space_group": "P4/mmm",
  "total_magnetization_mub_per_fu": 0.000,
  "dos_ef_per_ev_atom": 0.54,
  "lattice_angstrom": [[-0.5489, -3.8783, -0.0058], [1.7034, -0.2473, 4.2148], [-4.1736, 0.5881, 1.7213]],
  "species": ["Si", "Si", "Pb", "Al"],
  "fractional_positions": [[0.0000, 0.0000, 0.0000], [0.0000, 0.5000, 0.5000], [0.5000, 0.0000, 0.5000], [0.5000, 0.5000, 0.0000]]
}



Version b
{
  "formula": "AlSi2Pb",
  "functional": "GGA-PBE",
  "state": "relaxed",
  "volume_a3_per_atom": 20.77,
  "space_group": "Imm2",
  "total_magnetization_mub_per_fu": 0.000,
  "dos_ef_per_ev_atom": 0.40,
  "lattice_angstrom": [[-3.1781, 3.9759, 2.2851], [-4.0036, -2.0563, 3.2974], [5.5312, 0.2161, -0.6994]],
  "species": ["Si", "Si", "Pb", "Al"],
  "fractional_positions": [[0.9493, 0.9493, 0.0000], [0.7708, 0.2708, 0.5000], [0.2430, 0.7430, 0.5000], [0.5369, 0.5369, 0.0000]]
}



Version c
{
  "formula": "AlSi2Pb",
  "functional": "GGA-PBE",
  "state": "relaxed",
  "volume_a3_per_atom": 21.74,
  "space_group": "Pm",
  "total_magnetization_mub_per_fu": 0.000,
  "dos_ef_per_ev_atom": 0.18,
  "lattice_angstrom": [[3.6098, 0.0000, 0.0000], [0.0000, 3.8727, -0.7499], [0.0000, 1.1729, 5.9932]],
  "species": ["Si", "Si", "Al", "Pb"],
  "fractional_positions": [[0.0000, 0.1242, 0.0664], [0.5000, 0.1243, 0.3449], [0.0000, 0.6237, 0.3377], [0.5000, 0.6277, 0.7510]]
}



Which structure is most stable, and how do the rest compare? From most to least stable: version c, version b, version a.



Version a
{
  "formula": "AlSi2Pb",
  "functional": "GGA-PBE",
  "state": "relaxed",
  "volume_a3_per_atom": 20.30,
  "space_group": "Cmmm",
  "total_magnetization_mub_per_fu": 0.000,
  "dos_ef_per_ev_atom": 0.27,
  "lattice_angstrom": [[3.5027, 0.0752, 0.0000], [-0.1080, 3.5019, 0.0000], [0.0000, 0.0000, 6.6140]],
  "species": ["Al", "Pb", "Si", "Si"],
  "fractional_positions": [[0.5000, 0.5000, 0.2500], [0.5000, 0.5000, 0.7500], [0.0000, 0.0000, 0.0706], [0.0000, 0.0000, 0.4294]]
}



Version b
{
  "formula": "AlSi2Pb",
  "functional": "GGA-PBE",
  "state": "relaxed",
  "volume_a3_per_atom": 20.26,
  "space_group": "Fm-3m",
  "total_magnetization_mub_per_fu": 0.000,
  "dos_ef_per_ev_atom": 0.46,
  "lattice_angstrom": [[0.0000, 3.4349, 3.4349], [3.4349, 0.0000, 3.4349], [3.4349, 3.4349, 0.0000]],
  "species": ["Pb", "Si", "Si", "Al"],
  "fractional_positions": [[0.5000, 0.5000, 0.5000], [0.7500, 0.7500, 0.7500], [0.2500, 0.2500, 0.2500], [0.0000, 0.0000, 0.0000]]
}



Version c
{
  "formula": "AlSi2Pb",
  "functional": "GGA-PBE",
  "state": "relaxed",
  "volume_a3_per_atom": 20.45,
  "space_group": "F-43m",
  "total_magnetization_mub_per_fu": 0.000,
  "dos_ef_per_ev_atom": 0.99,
  "lattice_angstrom": [[4.8724, 0.0000, 0.0000], [2.4362, 4.2196, 0.0000], [2.4362, 1.4065, 3.9783]],
  "species": ["Al", "Si", "Si", "Pb"],
  "fractional_positions": [[0.5000, 0.5000, 0.5000], [0.7500, 0.7500, 0.7500], [0.0000, 0.0000, 0.0000], [0.2500, 0.2500, 0.2500]]
}



Which structure is most stable, and how do the rest compare? From most to least stable: version a, version b, version c.